Material: BeRh2
Method: DFT, GGA-PBE
State: optimized geometry

extended XYZ file:
```
3
Lattice="-1.372 2.202 3.184 1.372 -2.202 3.184 1.372 2.202 -3.184" Properties=species:S:1:pos:R:3 pbc="T T T"
Be 0.000 0.000 0.000
Rh 1.372 0.000 1.889
Rh 0.000 2.202 1.295
```

Calculated values
**ΔE_f**: -0.131 eV per atom

***

Material: SrNdAgHg
Method: DFT, GGA-PBE
State: optimized geometry

extended XYZ file:
```
4
Lattice="5.465 0.000 0.000 2.732 4.733 0.000 2.732 1.578 4.462" Properties=species:S:1:pos:R:3 pbc="T T T"
Sr 2.732 1.578 1.116
Nd 8.197 4.733 3.347
Hg 0.000 0.000 0.000
Ag 5.465 3.155 2.231
```

Calculated values
**ΔE_f**: -0.349 eV per atom

***

Material: Tc2AuCl
Method: DFT, GGA-PBE
State: optimized geometry

extended XYZ file:
```
4
Lattice="-3.863 1.715 -0.058 -4.051 -1.110 0.475 -0.618 1.081 5.511" Properties=species:S:1:pos:R:3 pbc="T T T"
Au -6.399 1.264 4.447
Cl -2.133 0.421 1.482
Tc -7.925 0.654 0.671
Tc -4.254 0.794 2.712
```

Calculated values
**E**: -5.8010 eV per atom

***

Material: LaFeHg2
Method: DFT, GGA-PBE
State: optimized geometry

extended XYZ file:
```
4
Lattice="-2.983 -2.810 2.350 1.670 -3.459 2.751 -0.332 1.107 5.649" Properties=species:S:1:pos:R:3 pbc="T T T"
Fe -0.431 -1.887 1.944
Hg -1.302 -5.912 5.540
Hg -1.225 -3.589 8.412
La -0.825 -2.625 5.330
```

Calculated values
**ΔE_f**: 0.027 eV per atom

***

Material: LaMg2Au
Method: DFT, GGA-PBE
State: optimized geometry

extended XYZ file:
```
4
Lattice="-3.974 -1.388 2.804 -3.865 3.194 0.666 -4.455 -0.925 -2.210" Properties=species:S:1:pos:R:3 pbc="T T T"
Mg -3.073 0.220 0.315
Mg -9.220 0.661 0.945
Au -6.147 0.441 0.630
La 0.000 0.000 0.000
```

Calculated values
**ΔE_f**: -0.317 eV per atom

***

Material: HfHg3Br
Method: DFT, GGA-PBE
State: optimized geometry

extended XYZ file:
```
5
Lattice="5.574 0.000 0.000 0.000 5.574 0.000 0.000 0.000 5.574" Properties=species:S:1:pos:R:3 pbc="T T T"
Hf 2.787 2.787 2.787
Hg 0.000 2.787 0.000
Hg 0.000 0.000 2.787
Hg 2.787 0.000 0.000
Br 0.000 0.000 0.000
```

Calculated values
**E**: -1.3673 eV per atom

***

Material: Zn2ReF2
Method: DFT, GGA-PBE
State: optimized geometry

extended XYZ file:
```
5
Lattice="3.139 0.000 0.000 0.000 3.139 0.000 1.570 1.570 6.498" Properties=species:S:1:pos:R:3 pbc="T T T"
Re 0.000 0.000 0.000
Zn 1.570 1.570 1.833
Zn 3.139 3.139 4.665
F 3.139 1.570 3.249
F 1.570 3.139 3.249
```

Calculated values
**E**: -4.2368 eV per atom

***

Material: YHo2Sb
Method: DFT, GGA-PBE
State: optimized geometry

extended XYZ file:
```
4
Lattice="-3.060 -2.188 3.007 -2.887 -0.981 -3.651 2.271 -4.123 -0.689" Properties=species:S:1:pos:R:3 pbc="T T T"
Y -1.530 -1.094 1.504
Sb -1.838 -3.646 -0.666
Ho 1.135 -2.062 -0.344
Ho -1.444 -0.490 -1.826
```

Calculated values
**E**: -5.3999 eV per atom

***

In the order shown, the computed ρ values come out to 9.27 7.77 11.17 10.09 6.98 8.25 9.21 8.24 g cm⁻³.